First-principles (PBE) data for an optimized crystal structure of PPbClF6, as listed in Alexandria.

Summary:
- Formation energy (no corrections): -2.288 eV/atom
- Final energy: -42.79 eV/cell

Lattice parameters (Å, degrees): 7.889 6.817 4.780 86.73 79.64 38.14
Fractional coordinates of all 9 atoms:
Pb 0.692 0.551 0.523
Cl 0.930 0.211 0.966
F 0.503 0.359 0.610
F 0.630 0.993 0.291
F 0.179 0.276 0.393
F 0.265 0.533 0.246
F 0.419 0.106 0.758
F 0.046 0.642 0.714
P 0.337 0.329 0.501